First-principles (GGA-PBE) data for a geometry-optimized Sc5In4Pb2 structure, as listed in Alexandria via LeMat-Bulk.

Properties
Its formation energy is -3.67 eV per formula unit.

Cell lengths 3.2905, 7.7741, 20.6575 Å; angles 90.00, 90.00, 90.00 degrees
Last column: nearest neighbours and their distance in Å.
Fractional positions:
Pb1 0.5000 0.3725 0.2196  6 Sc 3.09-3.20, 2 Pb 3.29, 2 In 3.30-3.36
In1 0.5000 0.1719 0.4573  8 Sc 3.13-3.16, 4 In 3.20-3.29
In2 0.5000 0.4753 0.6282  6 Sc 3.11-3.14, 3 In 3.26-3.29, 2 Pb 3.30-3.36
Sc1 0.0000 0.2995 0.8286  4 Pb 3.09-3.19, 4 In 3.13-3.14, 3 Sc 3.26-3.29
Sc2 0.0000 0.6532 0.9129  6 In 3.11-3.15, 2 Pb 3.20, 4 Sc 3.24-3.29
Sc3 0.0000 0.7005 0.1714  4 Pb 3.09-3.19, 4 In 3.13-3.14, 3 Sc 3.26-3.29
Sc4 0.0000 0.2005 0.3286  4 Pb 3.09-3.19, 4 In 3.13-3.14, 3 Sc 3.26-3.29
Sc5 0.0000 0.0000 0.0000  8 In 3.12-3.16, 4 Sc 3.24-3.29
Pb2 0.5000 0.6275 0.7804  6 Sc 3.09-3.20, 2 Pb 3.29, 2 In 3.30-3.36
Pb3 0.5000 0.1275 0.7196  6 Sc 3.09-3.20, 2 Pb 3.29, 2 In 3.30-3.36
In3 0.5000 0.5247 0.3718  6 Sc 3.11-3.14, 3 In 3.26-3.29, 2 Pb 3.30-3.36
Sc6 0.0000 0.3468 0.0871  6 In 3.11-3.15, 2 Pb 3.20, 4 Sc 3.24-3.29
Sc7 0.0000 0.1532 0.5871  6 In 3.11-3.15, 2 Pb 3.20, 4 Sc 3.24-3.29
Sc8 0.0000 0.7995 0.6714  4 Pb 3.09-3.19, 4 In 3.13-3.14, 3 Sc 3.26-3.29
In4 0.5000 0.8281 0.5427  8 Sc 3.13-3.16, 4 In 3.20-3.29
Sc9 0.0000 0.5000 0.5000  8 In 3.12-3.16, 4 Sc 3.24-3.29
In5 0.5000 0.3281 0.9573  8 Sc 3.13-3.16, 4 In 3.20-3.29
In6 0.5000 0.0247 0.1282  6 Sc 3.11-3.14, 3 In 3.26-3.29, 2 Pb 3.30-3.36
In7 0.5000 0.9753 0.8718  6 Sc 3.11-3.14, 3 In 3.26-3.29, 2 Pb 3.30-3.36
Pb4 0.5000 0.8725 0.2804  6 Sc 3.09-3.20, 2 Pb 3.29, 2 In 3.30-3.36
Sc10 0.0000 0.8468 0.4129  6 In 3.11-3.15, 2 Pb 3.20, 4 Sc 3.24-3.29
In8 0.5000 0.6719 0.0427  8 Sc 3.13-3.16, 4 In 3.20-3.29